Here is a relaxed Ba2P2Ru2C crystal from Alexandria via LeMat-Bulk. Energies are from GGA-PBE.

total moment	0.0000	μB per atom
crystal system	monoclinic
E_form	-0.631	eV per atom
Fermi-level density of states	0.633	states/eV per atom
total energy	-6.69	eV/atom

Lattice parameters (Å, degrees): 11.4275 4.0815 7.6194 90.00 122.77 90.00
Closest atoms and distances in Å follow each position.
Positions (direct):
Ba (0.0625, 0.0000, 0.3267)  2 C 2.99, 1 P 3.15
Ba (0.4375, 0.5000, 0.6733)  2 C 2.99, 1 P 3.15
Ba (0.5625, 0.5000, 0.3267)  2 C 2.99, 1 P 3.15
Ba (0.9375, 0.0000, 0.6733)  2 C 2.99, 1 P 3.15
P (0.2015, 0.5000, 0.7692)  3 Ru 2.36-2.38
P (0.2985, 0.0000, 0.2308)  3 Ru 2.36-2.38
P (0.7015, 0.0000, 0.7692)  3 Ru 2.36-2.38
P (0.7985, 0.5000, 0.2308)  3 Ru 2.36-2.38
Ru (0.1851, 0.5000, 0.0647)  1 C 1.89
Ru (0.3149, 0.0000, 0.9353)  1 C 1.89
Ru (0.6851, 0.0000, 0.0647)  1 C 1.89
Ru (0.8149, 0.5000, 0.9353)  1 C 1.89
C (0.0000, 0.5000, 0.0000)  2 Ru 1.89
C (0.5000, 0.0000, 0.0000)  2 Ru 1.89

---

Here is a relaxed PuPaNi crystal from Alexandria via LeMat-Bulk. Energies are from GGA-PBE.

total moment	1.7993	μB per atom
crystal system	trigonal
E_form	-0.056	eV per atom
Fermi-level density of states	1.467	states/eV per atom
total energy	-9.93	eV/atom
energy above the most stable polymorph in this dataset	109.3	meV/atom

Lattice parameters (Å, degrees): 4.4360 4.4360 3.5357 90.00 90.00 120.00
Closest atoms and distances in Å follow each position.
Positions (direct):
Pu (0.0000, 0.0000, 0.0000)  3 Pa 2.82, 3 Ni 2.85
Pa (0.3333, 0.6667, 0.6643)  3 Ni 2.78, 3 Pu 2.82
Ni (0.6667, 0.3333, 0.3568)  3 Pa 2.78, 3 Pu 2.85

---

Here is a relaxed K2CaSN crystal from Alexandria via LeMat-Bulk. Energies are from GGA-PBE.

total moment	0.2000	μB per atom
ΔE_f (raw)	-369	meV per atom
crystal system	tetragonal
Fermi-level density of states	0.290	states/eV per atom
total energy	-3.70	eV/atom

Lattice parameters (Å, degrees): 5.0984 5.0984 4.8332 90.00 90.00 90.00
Closest atoms and distances in Å follow each position.
Positions (direct):
K (0.0000, 0.5000, 0.0000)  2 N 2.55
K (0.5000, 0.0000, 0.0000)  2 N 2.55
Ca (0.0000, 0.0000, 0.5000)  2 N 2.42
S (0.5000, 0.5000, 0.5000)  8 K 3.51, 4 Ca 3.61
N (0.0000, 0.0000, 0.0000)  2 Ca 2.42, 4 K 2.55

---

Here is a relaxed CeSmPtO6 crystal from Alexandria via LeMat-Bulk. Energies are from GGA-PBE.

total moment	0.0235	μB per atom
ΔE_f (raw)	-2135	meV per atom
crystal system	trigonal
Fermi-level density of states	1.049	states/eV per atom
total energy	-7.30	eV/atom

Lattice parameters (Å, degrees): 5.5780 5.5780 9.5992 90.00 90.00 120.00
Closest atoms and distances in Å follow each position.
Positions (direct):
Ce (0.0000, 0.0000, 0.0000)  6 O 2.28
Ce (0.0000, 0.0000, 0.5000)  6 O 2.28
Sm (0.3333, 0.6667, 0.2500)  6 O 2.33
Sm (0.6667, 0.3333, 0.7500)  6 O 2.33
Pt (0.3333, 0.6667, 0.7500)  6 O 2.01
Pt (0.6667, 0.3333, 0.2500)  6 O 2.01
O (0.0446, 0.3623, 0.6306)  1 Pt 2.01
O (0.0446, 0.6822, 0.8694)  1 Pt 2.01
O (0.3178, 0.3623, 0.8694)  1 Pt 2.01
O (0.3178, 0.9554, 0.6306)  1 Pt 2.01
O (0.3623, 0.0446, 0.1306)  1 Pt 2.01
O (0.3623, 0.3178, 0.3694)  1 Pt 2.01
O (0.6377, 0.6822, 0.6306)  1 Pt 2.01
O (0.6377, 0.9554, 0.8694)  1 Pt 2.01
O (0.6822, 0.0446, 0.3694)  1 Pt 2.01
O (0.6822, 0.6377, 0.1306)  1 Pt 2.01
O (0.9554, 0.3178, 0.1306)  1 Pt 2.01
O (0.9554, 0.6377, 0.3694)  1 Pt 2.01

---

Here is a relaxed LaMnCo2 crystal from Alexandria via LeMat-Bulk. Energies are from GGA-PBE.

total moment	1.0938	μB per atom
crystal system	monoclinic
E_form	0.053	eV per atom
Fermi-level density of states	1.179	states/eV per atom
total energy	-7.02	eV/atom

Lattice parameters (Å, degrees): 7.0687 4.0825 5.5882 90.00 115.04 90.00
Closest atoms and distances in Å follow each position.
Positions (direct):
La (0.0000, 0.0000, 0.0000)  1 Co 2.84, 4 Mn 2.95-3.17
La (0.5000, 0.5000, 0.0000)  1 Co 2.84, 4 Mn 2.95-3.17
Mn (0.1944, 0.0000, 0.5831)  6 Co 2.42-2.47
Mn (0.6944, 0.5000, 0.5831)  6 Co 2.42-2.47
Co (0.3133, 0.5000, 0.4400)  3 Co 2.36, 3 Mn 2.46-2.47
Co (0.4923, 0.0000, 0.4770)  3 Co 2.36, 3 Mn 2.42
Co (0.8133, 0.0000, 0.4400)  3 Co 2.36, 3 Mn 2.46-2.47
Co (0.9923, 0.5000, 0.4770)  3 Co 2.36, 3 Mn 2.42

---

Here is a relaxed CaSb2Cl crystal from Alexandria via LeMat-Bulk. Energies are from GGA-PBE.

total moment	0.0000	μB per atom
ΔE_f (raw)	-796	meV per atom
crystal system	orthorhombic
Fermi-level density of states	0.292	states/eV per atom
total energy	-3.82	eV/atom
energy above the most stable polymorph in this dataset	175.4	meV/atom

Lattice parameters (Å, degrees): 4.2172 6.5954 8.8657 90.00 90.00 90.00
Closest atoms and distances in Å follow each position.
Positions (direct):
Ca (0.0000, 0.0000, 0.0000)  2 Cl 2.66
Ca (0.5000, 0.5000, 0.5000)  2 Cl 2.66
Sb (0.0000, 0.0000, 0.4735)  2 Sb 2.83
Sb (0.0000, 0.5000, 0.1870)  2 Sb 2.83
Sb (0.5000, 0.0000, 0.6870)  2 Sb 2.83
Sb (0.5000, 0.5000, 0.9735)  2 Sb 2.83
Cl (0.0000, 0.5000, 0.6821)  2 Ca 2.66
Cl (0.5000, 0.0000, 0.1821)  2 Ca 2.66

---

Here is a relaxed PrHoCl crystal from Alexandria via LeMat-Bulk. Energies are from GGA-PBE.

total moment	0.1088	μB per atom
ΔE_f (raw)	-877	meV per atom
crystal system	tetragonal
Fermi-level density of states	0.899	states/eV per atom
total energy	-4.61	eV/atom
energy above the most stable polymorph in this dataset	24.3	meV/atom

Lattice parameters (Å, degrees): 4.0162 4.0162 10.5754 90.00 90.00 90.00
Closest atoms and distances in Å follow each position.
Positions (direct):
Pr (0.2500, 0.2500, 0.1886)  5 Cl 2.94-3.21
Pr (0.7500, 0.7500, 0.8114)  5 Cl 2.94-3.21
Ho (0.2500, 0.2500, 0.5954)  1 Cl 3.06
Ho (0.7500, 0.7500, 0.4046)  1 Cl 3.06
Cl (0.2500, 0.2500, 0.8848)  5 Pr 2.94-3.21, 1 Ho 3.06
Cl (0.7500, 0.7500, 0.1152)  5 Pr 2.94-3.21, 1 Ho 3.06

---

Here is a relaxed Rb2HfTlI6 crystal from Alexandria via LeMat-Bulk. Energies are from GGA-PBE.

total moment	0.1013	μB per atom
ΔE_f (raw)	-990	meV per atom
crystal system	trigonal
Fermi-level density of states	0.622	states/eV per atom
total energy	-3.35	eV/atom
energy above the most stable polymorph in this dataset	0.0	meV/atom

Lattice parameters (Å, degrees): 17.5757 17.5757 17.5757 27.50 27.50 27.50
Closest atoms and distances in Å follow each position.
Positions (direct):
Rb (0.1417, 0.1417, 0.1417)  9 I 3.85-4.20
Rb (0.3104, 0.3104, 0.3104)  9 I 3.78-4.21
Rb (0.6896, 0.6896, 0.6896)  9 I 3.78-4.21
Rb (0.8583, 0.8583, 0.8583)  9 I 3.85-4.20
Hf (0.0000, 0.0000, 0.0000)  6 I 2.89
Hf (0.5000, 0.5000, 0.5000)  6 I 2.91
Tl (0.4174, 0.4174, 0.4174)  6 I 3.43-3.57
Tl (0.5826, 0.5826, 0.5826)  6 I 3.43-3.57
I (0.1393, 0.6300, 0.6300)  1 Hf 2.91
I (0.1955, 0.1955, 0.7092)  1 Hf 2.89
I (0.1955, 0.7092, 0.1955)  1 Hf 2.89
I (0.2908, 0.8045, 0.8045)  1 Hf 2.89
I (0.3700, 0.3700, 0.8607)  1 Hf 2.91
I (0.3700, 0.8607, 0.3700)  1 Hf 2.91
I (0.6300, 0.1393, 0.6300)  1 Hf 2.91
I (0.6300, 0.6300, 0.1393)  1 Hf 2.91
I (0.7092, 0.1955, 0.1955)  1 Hf 2.89
I (0.8045, 0.2908, 0.8045)  1 Hf 2.89
I (0.8045, 0.8045, 0.2908)  1 Hf 2.89
I (0.8607, 0.3700, 0.3700)  1 Hf 2.91

---

Here is a relaxed Ac6OsPd2I3 crystal from Alexandria via LeMat-Bulk. Energies are from GGA-PBE.

total moment	0.0000	μB per atom
ΔE_f (raw)	-905	meV per atom
crystal system	monoclinic
Fermi-level density of states	0.470	states/eV per atom
total energy	-5.15	eV/atom

Lattice parameters (Å, degrees): 7.6884 7.6884 9.0445 98.14 98.14 120.01
Closest atoms and distances in Å follow each position.
Positions (direct):
Ac (0.0625, 0.3829, 0.1873)  1 Os 2.95, 2 Pd 3.08
Ac (0.2580, 0.2580, 0.8126)  1 Os 2.95, 2 Pd 3.08
Ac (0.3829, 0.0625, 0.1873)  1 Os 2.95, 2 Pd 3.08
Ac (0.6171, 0.9375, 0.8127)  1 Os 2.95, 2 Pd 3.08
Ac (0.7420, 0.7420, 0.1874)  1 Os 2.95, 2 Pd 3.08
Ac (0.9375, 0.6171, 0.8127)  1 Os 2.95, 2 Pd 3.08
Os (0.0000, 0.0000, 0.0000)  6 Ac 2.95
Pd (0.3332, 0.6668, 0.0000)  6 Ac 3.08
Pd (0.6668, 0.3332, 0.0000)  6 Ac 3.08
I (0.1655, 0.8345, 0.5000)  6 Ac 3.69-3.81
I (0.5000, 0.5000, 0.5000)  6 Ac 3.70-3.80
I (0.8345, 0.1655, 0.5000)  6 Ac 3.69-3.81

---

Here is a relaxed Pr2Mg3Zn2 crystal from Alexandria via LeMat-Bulk. Energies are from GGA-PBE.

total moment	0.0000	μB per atom
crystal system	monoclinic
E_form	-0.190	eV per atom
Fermi-level density of states	0.753	states/eV per atom
total energy	-2.60	eV/atom

Lattice parameters (Å, degrees): 10.4100 4.6428 7.2657 90.00 97.22 90.00
Closest atoms and distances in Å follow each position.
Positions (direct):
Pr (0.1247, 0.0000, 0.3521)  5 Zn 3.06-3.27, 1 Mg 3.41
Pr (0.3753, 0.5000, 0.6479)  5 Zn 3.06-3.27, 1 Mg 3.41
Pr (0.6247, 0.5000, 0.3521)  5 Zn 3.06-3.27, 1 Mg 3.41
Pr (0.8753, 0.0000, 0.6479)  5 Zn 3.06-3.27, 1 Mg 3.41
Mg (0.0000, 0.5000, 0.0000)  2 Zn 2.75
Mg (0.1859, 0.0000, 0.8637)  2 Zn 2.91, 2 Mg 3.23
Mg (0.3141, 0.5000, 0.1363)  2 Zn 2.91, 2 Mg 3.23
Mg (0.5000, 0.0000, 0.0000)  2 Zn 2.75
Mg (0.6859, 0.5000, 0.8637)  2 Zn 2.91, 2 Mg 3.23
Mg (0.8141, 0.0000, 0.1363)  2 Zn 2.91, 2 Mg 3.23
Zn (0.0821, 0.5000, 0.6552)  1 Zn 2.65, 3 Mg 2.75-2.91
Zn (0.4179, 0.0000, 0.3448)  1 Zn 2.65, 3 Mg 2.75-2.91
Zn (0.5821, 0.0000, 0.6552)  1 Zn 2.65, 3 Mg 2.75-2.91
Zn (0.9179, 0.5000, 0.3448)  1 Zn 2.65, 3 Mg 2.75-2.91

---

Here is a relaxed TlAsIr4 crystal from Alexandria via LeMat-Bulk. Energies are from GGA-PBE.

total moment	0.0000	μB per atom
crystal system	cubic
E_form	0.615	eV per atom
Fermi-level density of states	1.380	states/eV per atom
total energy	-6.46	eV/atom

Lattice parameters (Å, degrees): 5.2992 5.2992 5.2992 60.00 60.00 60.00
Closest atoms and distances in Å follow each position.
Positions (direct):
Tl (0.0000, 0.0000, 0.0000)  12 Ir 3.11, 4 As 3.25
As (0.7500, 0.7500, 0.7500)  12 Ir 3.11, 4 Tl 3.25
Ir (0.3752, 0.3752, 0.3752)  6 Ir 2.65
Ir (0.3752, 0.3752, 0.8744)  6 Ir 2.65
Ir (0.3752, 0.8744, 0.3752)  6 Ir 2.65
Ir (0.8744, 0.3752, 0.3752)  6 Ir 2.65

---

Here is a relaxed LiSnP2O7 crystal from Alexandria via LeMat-Bulk. Energies are from GGA-PBE.

total moment	0.0000	μB per atom
ΔE_f (raw)	-2039	meV per atom
crystal system	triclinic
total energy	-6.72	eV/atom
energy above the most stable polymorph in this dataset	26.3	meV/atom

Lattice parameters (Å, degrees): 5.3341 7.0517 8.6897 110.75 90.30 91.94
Closest atoms and distances in Å follow each position.
Positions (direct):
Li (0.0000, 0.0000, 0.0000)  3 O 1.90-2.00
Li (0.3851, 0.7614, 0.3653)  3 O 1.86-2.01
Sn (0.5179, 0.1748, 0.6695)  6 O 2.05-2.14
Sn (0.9287, 0.6531, 0.1200)  4 O 2.26-2.51
P (0.0346, 0.5066, 0.6998)  4 O 1.51-1.62
P (0.4010, 0.3381, 0.0734)  4 O 1.50-1.64
P (0.4928, 0.0330, 0.2213)  4 O 1.51-1.61
P (0.9994, 0.8540, 0.5777)  4 O 1.50-1.63
O (0.0250, 0.6198, 0.5666)  2 P 1.62-1.63
O (0.0326, 0.8367, 0.4016)  1 P 1.50
O (0.1337, 0.2642, 0.0295)  1 P 1.50
O (0.2208, 0.9798, 0.6873)  1 P 1.55
O (0.2477, 0.9313, 0.1416)  1 P 1.51
O (0.2981, 0.4169, 0.6819)  1 P 1.55
O (0.4411, 0.5670, 0.1597)  1 P 1.53
O (0.5048, 0.0491, 0.4065)  1 P 1.57
O (0.5114, 0.2592, 0.2160)  2 P 1.61-1.64
O (0.5787, 0.2615, 0.9213)  1 P 1.57
O (0.7284, 0.9348, 0.1332)  1 P 1.53
O (0.7407, 0.9231, 0.6500)  1 P 1.54
O (0.8343, 0.3336, 0.6425)  1 P 1.53
O (0.9904, 0.6728, 0.8632)  1 P 1.51